The following is a GGA-PBE calculation of a relaxed NaNpBO5 crystal, from the Alexandria database.

Values from the calculation:
Formation energy from raw total energies = -2.44 eV/atom
DOS at the Fermi energy = 0.155 states/eV per atom

a = 5.463 Å, b = 5.463 Å, c = 7.734 Å
α = 105.94°, β = 105.94°, γ = 103.13°
Each line ends with the local moment (μB).
Atoms (fractional coordinates):
Np 0.000 0.000 0.500  1.23
Np 0.000 0.000 0.000  1.23
Na 0.347 0.653 0.250  0.00
Na 0.653 0.347 0.750  0.00
B 0.316 0.684 0.750  -0.01
B 0.684 0.316 0.250  -0.01
O 0.757 0.598 0.384  -0.04
O 0.911 0.089 0.750  -0.06
O 0.700 0.129 0.361  -0.04
O 0.129 0.700 0.861  -0.04
O 0.089 0.911 0.250  -0.06
O 0.402 0.243 0.116  -0.04
O 0.243 0.402 0.616  -0.04
O 0.300 0.871 0.639  -0.04
O 0.598 0.757 0.884  -0.04
O 0.871 0.300 0.139  -0.04